First-principles (GGA-PBEsol) data for HfCdAsSe2 after structural relaxation, as listed in Alexandria via LeMat-Bulk.

Cell and atoms, written as CIF:
```
data_HfCdAsSe2
_chemical_formula_sum 'Hf1 Cd1 As1 Se2'
_space_group_name_H-M_alt 'P 1'
_space_group_IT_number 1
_cell_length_a 5.055
_cell_length_b 5.055
_cell_length_c 5.200
_cell_angle_alpha 90.00
_cell_angle_beta 90.00
_cell_angle_gamma 90.00
loop_
_space_group_symop_operation_xyz
'x,y,z'
loop_
_atom_site_label
_atom_site_type_symbol
_atom_site_fract_x
_atom_site_fract_y
_atom_site_fract_z
Hf1 Hf 0.000 0.000 0.000
Cd1 Cd 0.500 0.500 0.500
As1 As 0.000 0.000 0.500
Se1 Se 0.000 0.500 0.000
Se2 Se 0.500 0.000 0.000
```

Computed properties:
Crystal system: tetragonal
Symmetry: P4/mmm

=====

First-principles (GGA-PBEsol) data for Mg5Re after structural relaxation, as listed in Alexandria via LeMat-Bulk.

Cell and atoms, written as CIF:
```
data_Mg5Re
_chemical_formula_sum 'Mg10 Re2'
_space_group_name_H-M_alt 'P 1'
_space_group_IT_number 1
_cell_length_a 11.138
_cell_length_b 2.890
_cell_length_c 7.273
_cell_angle_alpha 90.00
_cell_angle_beta 104.27
_cell_angle_gamma 90.00
loop_
_space_group_symop_operation_xyz
'x,y,z'
loop_
_atom_site_label
_atom_site_type_symbol
_atom_site_fract_x
_atom_site_fract_y
_atom_site_fract_z
Mg1 Mg 0.000 0.000 0.000
Mg2 Mg 0.060 0.000 0.641
Mg3 Mg 0.182 0.500 0.370
Mg4 Mg 0.242 0.500 0.949
Mg5 Mg 0.398 0.000 0.315
Mg6 Mg 0.500 0.500 0.000
Mg7 Mg 0.560 0.500 0.641
Mg8 Mg 0.682 0.000 0.370
Mg9 Mg 0.742 0.000 0.949
Mg10 Mg 0.898 0.500 0.315
Re1 Re 0.339 0.000 0.676
Re2 Re 0.839 0.500 0.676
```

Computed properties:
E_form in eV per atom: 0.236
Crystal system: monoclinic
Symmetry: Cm

=====

First-principles (GGA-PBEsol) data for KCdW2 after structural relaxation, as listed in Alexandria via LeMat-Bulk.

Cell and atoms, written as CIF:
```
data_KCdW2
_chemical_formula_sum 'K3 Cd3 W6'
_space_group_name_H-M_alt 'P 1'
_space_group_IT_number 1
_cell_length_a 2.836
_cell_length_b 2.836
_cell_length_c 33.170
_cell_angle_alpha 90.00
_cell_angle_beta 90.00
_cell_angle_gamma 120.00
loop_
_space_group_symop_operation_xyz
'x,y,z'
loop_
_atom_site_label
_atom_site_type_symbol
_atom_site_fract_x
_atom_site_fract_y
_atom_site_fract_z
K1 K 0.000 0.000 0.000
K2 K 0.333 0.667 0.667
K3 K 0.667 0.333 0.333
Cd1 Cd 0.000 0.000 0.760
Cd2 Cd 0.333 0.667 0.427
Cd3 Cd 0.667 0.333 0.094
W1 W 0.000 0.000 0.242
W2 W 0.000 0.000 0.504
W3 W 0.333 0.667 0.170
W4 W 0.333 0.667 0.908
W5 W 0.667 0.333 0.575
W6 W 0.667 0.333 0.837
```

Computed properties:
E_form in eV per atom: 0.843
Crystal system: trigonal
Symmetry: R3m

=====

First-principles (GGA-PBEsol) data for FeMo2 after structural relaxation, as listed in Alexandria via LeMat-Bulk.

Cell and atoms, written as CIF:
```
data_FeMo2
_chemical_formula_sum 'Fe4 Mo8'
_space_group_name_H-M_alt 'P 1'
_space_group_IT_number 1
_cell_length_a 5.846
_cell_length_b 5.846
_cell_length_c 4.796
_cell_angle_alpha 90.00
_cell_angle_beta 90.00
_cell_angle_gamma 90.00
loop_
_space_group_symop_operation_xyz
'x,y,z'
loop_
_atom_site_label
_atom_site_type_symbol
_atom_site_fract_x
_atom_site_fract_y
_atom_site_fract_z
Fe1 Fe 0.000 0.000 0.250
Fe2 Fe 0.000 0.000 0.750
Fe3 Fe 0.500 0.500 0.250
Fe4 Fe 0.500 0.500 0.750
Mo1 Mo 0.158 0.342 0.000
Mo2 Mo 0.158 0.658 0.500
Mo3 Mo 0.342 0.158 0.500
Mo4 Mo 0.342 0.842 0.000
Mo5 Mo 0.658 0.158 0.000
Mo6 Mo 0.658 0.842 0.500
Mo7 Mo 0.842 0.342 0.500
Mo8 Mo 0.842 0.658 0.000
```

Computed properties:
E_form in eV per atom: 0.051
Crystal system: tetragonal
Symmetry: I4/mcm

=====

Raw total energy (eV/atom)
-5.06; -3.42; -6.64; -10.78
Calculated density (g/cm³)
6.54; 4.50; 11.19; 10.04